No. 1
A PBEsol-optimized structure of Zr3Tl. Source: the Alexandria database, functional meta-GGA SCAN.

Properties
Symmetry ... P4/mmm

a = 3.1682 Å, b = 3.1682 Å, c = 8.9217 Å
α = 90.00°, β = 90.00°, γ = 90.00°
Closest atoms and distances in Å follow each position.
Fractional coordinates of all 4 atoms:
Zr 0.0000 0.0000 0.0000  12 Zr 3.15-3.17
Zr 0.5000 0.5000 0.2488  8 Zr 3.15-3.17, 4 Tl 3.17
Zr 0.5000 0.5000 0.7512  8 Zr 3.15-3.17, 4 Tl 3.17
Tl 0.0000 0.0000 0.5000  4 Tl 3.17, 8 Zr 3.17

No. 2
A PBEsol-optimized structure of Zr4Tl3. Source: the Alexandria database, functional meta-GGA SCAN.

Properties
Symmetry ... P6/mmm

a = 5.7621 Å, b = 5.7621 Å, c = 5.3801 Å
α = 90.00°, β = 90.00°, γ = 120.00°
Closest atoms and distances in Å follow each position.
Fractional coordinates of all 7 atoms:
Zr 0.0000 0.0000 0.2352  1 Zr 2.53
Zr 0.0000 0.0000 0.7648  1 Zr 2.53
Zr 0.3333 0.6667 0.0000  6 Tl 3.16, 3 Zr 3.33
Zr 0.6667 0.3333 0.0000  6 Tl 3.16, 3 Zr 3.33
Tl 0.0000 0.5000 0.5000  4 Tl 2.88, 8 Zr 3.16-3.21
Tl 0.5000 0.0000 0.5000  4 Tl 2.88, 8 Zr 3.16-3.21
Tl 0.5000 0.5000 0.5000  4 Tl 2.88, 8 Zr 3.16-3.21

No. 3
A PBEsol-optimized structure of Zr3Tl. Source: the Alexandria database, functional meta-GGA SCAN.

Properties
Symmetry ... Pmm2

a = 3.1361 Å, b = 5.1723 Å, c = 5.4119 Å
α = 90.00°, β = 90.00°, γ = 90.00°
Closest atoms and distances in Å follow each position.
Fractional coordinates of all 4 atoms:
Zr 0.0000 0.0000 0.0000  4 Tl 3.08-3.17, 8 Zr 3.12-3.23
Zr 0.0000 0.5000 0.3577  8 Zr 3.12-3.23, 4 Tl 3.13
Zr 0.5000 0.5000 0.8592  10 Zr 3.12-3.14, 2 Tl 3.21
Tl 0.5000 0.0000 0.5093  10 Zr 3.08-3.21, 2 Tl 3.14

No. 4
A PBEsol-optimized structure of Zr5Tl. Source: the Alexandria database, functional meta-GGA SCAN.

Properties
Symmetry ... P-62m
Energy above the most stable polymorph in this dataset ... 0.061 eV/atom

a = 5.4501 Å, b = 5.4501 Å, c = 5.1616 Å
α = 90.00°, β = 90.00°, γ = 120.00°
Closest atoms and distances in Å follow each position.
Fractional coordinates of all 6 atoms:
Zr 0.0000 0.6741 0.0000  10 Zr 3.08-3.18, 2 Tl 3.13
Zr 0.3259 0.3259 0.0000  10 Zr 3.08-3.18, 2 Tl 3.13
Zr 0.3333 0.6667 0.5000  3 Tl 3.15, 9 Zr 3.15-3.17
Zr 0.6667 0.3333 0.5000  3 Tl 3.15, 9 Zr 3.15-3.17
Zr 0.6741 0.0000 0.0000  10 Zr 3.08-3.18, 2 Tl 3.13
Tl 0.0000 0.0000 0.5000  12 Zr 3.13-3.15

No. 5
A PBEsol-optimized structure of Zr3Tl. Source: the Alexandria database, functional meta-GGA SCAN.

Properties
Symmetry ... Imm2

a = 6.0121 Å, b = 6.0121 Å, c = 6.0121 Å
α = 149.57°, β = 62.90°, γ = 126.39°
Closest atoms and distances in Å follow each position.
Fractional coordinates of all 4 atoms:
Zr 0.0000 0.0000 0.0000  8 Zr 3.06-3.21, 4 Tl 3.07-3.21
Zr 0.4272 0.6692 0.7580  9 Zr 3.06-3.21, 3 Tl 3.11-3.15
Zr 0.9113 0.6692 0.2420  9 Zr 3.06-3.21, 3 Tl 3.11-3.15
Tl 0.4850 0.9850 0.5000  10 Zr 3.07-3.21, 2 Tl 3.16

No. 6
A PBEsol-optimized structure of Zr4Tl. Source: the Alexandria database, functional meta-GGA SCAN.

Properties
Symmetry ... I4/mmm
Energy above the most stable polymorph in this dataset ... 0.578 eV/atom

a = 7.6994 Å, b = 7.6994 Å, c = 7.6994 Å
α = 149.51°, β = 149.51°, γ = 43.65°
Closest atoms and distances in Å follow each position.
Fractional coordinates of all 5 atoms:
Zr 0.0882 0.0882 0.0000  1 Zr 2.52
Zr 0.2500 0.7500 0.5000  8 Zr 2.86-3.07
Zr 0.7500 0.2500 0.5000  8 Zr 2.86-3.07
Zr 0.9118 0.9118 0.0000  1 Zr 2.52
Tl 0.5000 0.5000 0.0000  8 Zr 3.13

No. 7
A PBEsol-optimized structure of Zr4Tl5. Source: the Alexandria database, functional meta-GGA SCAN.

Properties
Symmetry ... I4/mmm

a = 7.3914 Å, b = 7.3914 Å, c = 7.3914 Å
α = 94.26°, β = 94.26°, γ = 148.37°
Closest atoms and distances in Å follow each position.
Fractional coordinates of all 9 atoms:
Zr 0.0000 0.3309 0.3309  7 Tl 3.10-3.33, 5 Zr 3.14-3.40
Zr 0.0000 0.6691 0.6691  7 Tl 3.10-3.33, 5 Zr 3.14-3.40
Zr 0.3309 0.0000 0.3309  7 Tl 3.10-3.33, 5 Zr 3.14-3.40
Zr 0.6691 0.0000 0.6691  7 Tl 3.10-3.33, 5 Zr 3.14-3.40
Tl 0.0000 0.0000 0.0000  8 Tl 3.17, 4 Zr 3.33
Tl 0.3277 0.3277 0.6553  4 Tl 2.99-3.17, 6 Zr 3.10-3.30
Tl 0.3277 0.6723 0.0000  4 Tl 2.99-3.17, 6 Zr 3.10-3.30
Tl 0.6723 0.3277 0.0000  4 Tl 2.99-3.17, 6 Zr 3.10-3.30
Tl 0.6723 0.6723 0.3447  4 Tl 2.99-3.17, 6 Zr 3.10-3.30

No. 8
A PBEsol-optimized structure of Zr8Tl. Source: the Alexandria database, functional meta-GGA SCAN.

Properties
Symmetry ... I4/mmm

a = 7.1589 Å, b = 7.1589 Å, c = 7.1589 Å
α = 95.01°, β = 95.01°, γ = 145.63°
Closest atoms and distances in Å follow each position.
Fractional coordinates of all 9 atoms:
Zr 0.0000 0.3337 0.3337  11 Zr 3.11-3.22, 1 Tl 3.23
Zr 0.0000 0.6663 0.6663  11 Zr 3.11-3.22, 1 Tl 3.23
Zr 0.3332 0.3332 0.6664  10 Zr 3.11-3.23, 2 Tl 3.11
Zr 0.3332 0.6668 0.0000  10 Zr 3.11-3.23, 2 Tl 3.11
Zr 0.3337 0.0000 0.3337  11 Zr 3.11-3.22, 1 Tl 3.23
Zr 0.6663 0.0000 0.6663  11 Zr 3.11-3.22, 1 Tl 3.23
Zr 0.6668 0.3332 0.0000  10 Zr 3.11-3.23, 2 Tl 3.11
Zr 0.6668 0.6668 0.3336  10 Zr 3.11-3.23, 2 Tl 3.11
Tl 0.0000 0.0000 0.0000  12 Zr 3.11-3.23

No. 9
A PBEsol-optimized structure of Zr5Tl. Source: the Alexandria database, functional meta-GGA SCAN.

Properties
Symmetry ... Pm
Energy above the most stable polymorph in this dataset ... 0.071 eV/atom

a = 3.1764 Å, b = 5.1083 Å, c = 8.2750 Å
α = 90.00°, β = 98.32°, γ = 90.00°
Closest atoms and distances in Å follow each position.
Fractional coordinates of all 6 atoms:
Zr 0.0000 0.0000 0.0000  2 Tl 3.07-3.08, 10 Zr 3.08-3.22
Zr 0.1174 0.5000 0.2329  11 Zr 3.05-3.20
Zr 0.4788 0.5000 0.9065  10 Zr 3.08-3.18, 2 Tl 3.17
Zr 0.6198 0.0000 0.3404  1 Tl 3.01, 10 Zr 3.07-3.25
Zr 0.8788 0.5000 0.5773  7 Zr 3.05-3.25, 4 Tl 3.06-3.19
Tl 0.3766 0.0000 0.6783  9 Zr 3.01-3.19, 2 Tl 3.18

No. 10
A PBEsol-optimized structure of ZrTl. Source: the Alexandria database, functional meta-GGA SCAN.

Properties
Symmetry ... Pnma

a = 5.7635 Å, b = 5.1406 Å, c = 5.9814 Å
α = 90.00°, β = 90.00°, γ = 90.00°
Closest atoms and distances in Å follow each position.
Fractional coordinates of all 8 atoms:
Zr 0.1253 0.2500 0.1223  7 Tl 2.95-3.27, 4 Zr 3.26-3.29
Zr 0.3747 0.7500 0.6223  7 Tl 2.95-3.27, 4 Zr 3.26-3.29
Zr 0.6253 0.2500 0.3777  7 Tl 2.95-3.27, 4 Zr 3.26-3.29
Zr 0.8747 0.7500 0.8777  7 Tl 2.95-3.27, 4 Zr 3.26-3.29
Tl 0.1139 0.2500 0.6292  7 Zr 2.95-3.27, 4 Tl 3.22-3.27
Tl 0.3861 0.7500 0.1292  7 Zr 2.95-3.27, 4 Tl 3.22-3.27
Tl 0.6139 0.2500 0.8708  7 Zr 2.95-3.27, 4 Tl 3.22-3.27
Tl 0.8861 0.7500 0.3708  7 Zr 2.95-3.27, 4 Tl 3.22-3.27

No. 11
A PBEsol-optimized structure of ZrTl3. Source: the Alexandria database, functional meta-GGA SCAN.

Properties
Symmetry ... Pmmm

a = 3.4059 Å, b = 4.4557 Å, c = 6.3545 Å
α = 90.00°, β = 90.00°, γ = 90.00°
Closest atoms and distances in Å follow each position.
Fractional coordinates of all 4 atoms:
Zr 0.0000 0.0000 0.0000  10 Tl 3.18, 2 Zr 3.41
Tl 0.0000 0.0000 0.5000  2 Zr 3.18, 10 Tl 3.27-3.41
Tl 0.5000 0.5000 0.2367  6 Tl 3.01-3.35, 4 Zr 3.18
Tl 0.5000 0.5000 0.7633  6 Tl 3.01-3.35, 4 Zr 3.18

No. 12
A PBEsol-optimized structure of ZrTl. Source: the Alexandria database, functional meta-GGA SCAN.

Properties
Symmetry ... I4_1/amd

a = 5.7956 Å, b = 5.7956 Å, c = 5.7956 Å
α = 137.12°, β = 137.12°, γ = 62.25°
Closest atoms and distances in Å follow each position.
Fractional coordinates of all 4 atoms:
Zr 0.3750 0.6250 0.7500  8 Tl 3.00-3.26, 4 Zr 3.26
Zr 0.6250 0.3750 0.2500  8 Tl 3.00-3.26, 4 Zr 3.26
Tl 0.1250 0.8750 0.2500  8 Zr 3.00-3.26, 4 Tl 3.26
Tl 0.8750 0.1250 0.7500  8 Zr 3.00-3.26, 4 Tl 3.26

No. 13
A PBEsol-optimized structure of Zr5Tl. Source: the Alexandria database, functional meta-GGA SCAN.

Properties
Symmetry ... Cm
Energy above the most stable polymorph in this dataset ... 0.063 eV/atom

a = 5.9896 Å, b = 5.9896 Å, c = 7.5943 Å
α = 104.81°, β = 104.81°, γ = 30.39°
Closest atoms and distances in Å follow each position.
Fractional coordinates of all 6 atoms:
Zr 0.0000 0.0000 0.0000  9 Zr 2.97-3.28, 3 Tl 3.11-3.12
Zr 0.0410 0.0410 0.6297  10 Zr 2.97-3.22, 2 Tl 3.24
Zr 0.3144 0.3144 0.6629  10 Zr 3.10-3.27, 2 Tl 3.15
Zr 0.3830 0.3830 0.2905  10 Zr 3.01-3.28, 2 Tl 3.10
Zr 0.6496 0.6496 0.3387  11 Zr 3.01-3.23, 1 Tl 3.20
Tl 0.7247 0.7247 0.9616  10 Zr 3.10-3.24, 2 Tl 3.14

No. 14
A PBEsol-optimized structure of Zr4Tl. Source: the Alexandria database, functional meta-GGA SCAN.

Properties
Symmetry ... I4/m
Energy above the most stable polymorph in this dataset ... 0.000 eV/atom

a = 5.5084 Å, b = 5.5084 Å, c = 5.5084 Å
α = 98.47°, β = 98.47°, γ = 134.85°
Closest atoms and distances in Å follow each position.
Fractional coordinates of all 5 atoms:
Zr 0.1112 0.3068 0.4180  9 Zr 3.02-3.32, 3 Tl 3.12-3.16
Zr 0.3068 0.8888 0.1956  9 Zr 3.02-3.32, 3 Tl 3.12-3.16
Zr 0.6932 0.1112 0.8044  9 Zr 3.02-3.32, 3 Tl 3.12-3.16
Zr 0.8888 0.6932 0.5820  9 Zr 3.02-3.32, 3 Tl 3.12-3.16
Tl 0.5000 0.5000 0.0000  12 Zr 3.12-3.16

No. 15
A PBEsol-optimized structure of ZrTl5. Source: the Alexandria database, functional meta-GGA SCAN.

Properties
Symmetry ... P4/mmm

a = 3.2989 Å, b = 3.2989 Å, c = 14.2916 Å
α = 90.00°, β = 90.00°, γ = 90.00°
Closest atoms and distances in Å follow each position.
Fractional coordinates of all 6 atoms:
Zr 0.0000 0.0000 0.0000  8 Tl 3.12, 4 Zr 3.30
Tl 0.0000 0.0000 0.3154  12 Tl 3.30-3.52
Tl 0.0000 0.0000 0.6846  12 Tl 3.30-3.52
Tl 0.5000 0.5000 0.1445  4 Zr 3.12, 8 Tl 3.30-3.38
Tl 0.5000 0.5000 0.5000  12 Tl 3.30-3.52
Tl 0.5000 0.5000 0.8555  4 Zr 3.12, 8 Tl 3.30-3.38

No. 16
A PBEsol-optimized structure of ZrTl. Source: the Alexandria database, functional meta-GGA SCAN.

Properties
Symmetry ... Pbcm

a = 9.8650 Å, b = 9.0558 Å, c = 5.9796 Å
α = 90.00°, β = 90.00°, γ = 90.00°
Closest atoms and distances in Å follow each position.
Fractional coordinates of all 24 atoms:
Zr 0.1056 0.2500 0.0000  6 Tl 2.98-3.08, 4 Zr 2.99-3.28
Zr 0.1056 0.2500 0.5000  6 Tl 2.98-3.08, 4 Zr 2.99-3.28
Zr 0.1722 0.6388 0.2500  7 Tl 2.90-3.21
Zr 0.1722 0.8612 0.7500  7 Tl 2.90-3.21
Zr 0.3869 0.0360 0.2500  9 Tl 3.00-3.15
Zr 0.3869 0.4640 0.7500  9 Tl 3.00-3.15
Zr 0.6131 0.5360 0.2500  9 Tl 3.00-3.15
Zr 0.6131 0.9640 0.7500  9 Tl 3.00-3.15
Zr 0.8278 0.1388 0.2500  7 Tl 2.90-3.21
Zr 0.8278 0.3612 0.7500  7 Tl 2.90-3.21
Zr 0.8944 0.7500 0.0000  6 Tl 2.98-3.08, 4 Zr 2.99-3.28
Zr 0.8944 0.7500 0.5000  6 Tl 2.98-3.08, 4 Zr 2.99-3.28
Tl 0.0915 0.5450 0.7500  9 Zr 2.97-3.21
Tl 0.0915 0.9550 0.2500  9 Zr 2.97-3.21
Tl 0.3398 0.1237 0.7500  7 Zr 2.90-3.13, 2 Tl 3.08
Tl 0.3398 0.3763 0.2500  7 Zr 2.90-3.13, 2 Tl 3.08
Tl 0.4125 0.7500 0.0000  6 Zr 2.98-3.15, 4 Tl 2.99-3.08
Tl 0.4125 0.7500 0.5000  6 Zr 2.98-3.15, 4 Tl 2.99-3.08
Tl 0.5875 0.2500 0.0000  6 Zr 2.98-3.15, 4 Tl 2.99-3.08
Tl 0.5875 0.2500 0.5000  6 Zr 2.98-3.15, 4 Tl 2.99-3.08
Tl 0.6602 0.6237 0.7500  7 Zr 2.90-3.13, 2 Tl 3.08
Tl 0.6602 0.8763 0.2500  7 Zr 2.90-3.13, 2 Tl 3.08
Tl 0.9085 0.0450 0.7500  9 Zr 2.97-3.21
Tl 0.9085 0.4550 0.2500  9 Zr 2.97-3.21

No. 17
A PBEsol-optimized structure of Zr5Tl4. Source: the Alexandria database, functional meta-GGA SCAN.

Properties
Symmetry ... P6_3/mcm

a = 8.7721 Å, b = 8.7721 Å, c = 5.9404 Å
α = 90.00°, β = 90.00°, γ = 120.00°
Closest atoms and distances in Å follow each position.
Fractional coordinates of all 18 atoms:
Zr 0.0000 0.2913 0.2500  7 Tl 2.93-3.06
Zr 0.0000 0.7087 0.7500  7 Tl 2.93-3.06
Zr 0.2913 0.0000 0.2500  7 Tl 2.93-3.06
Zr 0.2913 0.2913 0.7500  7 Tl 2.93-3.06
Zr 0.3333 0.6667 0.0000  2 Zr 2.97, 6 Tl 3.14
Zr 0.3333 0.6667 0.5000  2 Zr 2.97, 6 Tl 3.14
Zr 0.6667 0.3333 0.0000  2 Zr 2.97, 6 Tl 3.14
Zr 0.6667 0.3333 0.5000  2 Zr 2.97, 6 Tl 3.14
Zr 0.7087 0.0000 0.7500  7 Tl 2.93-3.06
Zr 0.7087 0.7087 0.2500  7 Tl 2.93-3.06
Tl 0.0000 0.0000 0.0000  6 Zr 2.96, 2 Tl 2.97
Tl 0.0000 0.0000 0.5000  6 Zr 2.96, 2 Tl 2.97
Tl 0.0000 0.3746 0.7500  9 Zr 2.93-3.14
Tl 0.0000 0.6254 0.2500  9 Zr 2.93-3.14
Tl 0.3746 0.0000 0.7500  9 Zr 2.93-3.14
Tl 0.3746 0.3746 0.2500  9 Zr 2.93-3.14
Tl 0.6254 0.0000 0.2500  9 Zr 2.93-3.14
Tl 0.6254 0.6254 0.7500  9 Zr 2.93-3.14

No. 18
A PBEsol-optimized structure of ZrTl. Source: the Alexandria database, functional meta-GGA SCAN.

Properties
Symmetry ... F-43m

a = 4.5430 Å, b = 4.5430 Å, c = 4.5430 Å
α = 60.00°, β = 60.00°, γ = 60.00°
Closest atoms and distances in Å follow each position.
Fractional coordinates of all 2 atoms:
Zr 0.0000 0.0000 0.0000  4 Tl 2.78
Tl 0.7500 0.7500 0.7500  4 Zr 2.78

No. 19
A PBEsol-optimized structure of Zr3Tl. Source: the Alexandria database, functional meta-GGA SCAN.

Properties
Symmetry ... Pm-3m

a = 4.4124 Å, b = 4.4124 Å, c = 4.4124 Å
α = 90.00°, β = 90.00°, γ = 90.00°
Closest atoms and distances in Å follow each position.
Fractional coordinates of all 4 atoms:
Zr 0.0000 0.0000 0.5000  8 Zr 3.12, 4 Tl 3.12
Zr 0.0000 0.5000 0.0000  8 Zr 3.12, 4 Tl 3.12
Zr 0.5000 0.0000 0.0000  8 Zr 3.12, 4 Tl 3.12
Tl 0.5000 0.5000 0.5000  12 Zr 3.12

No. 20
A PBEsol-optimized structure of ZrTl3. Source: the Alexandria database, functional meta-GGA SCAN.

Properties
Symmetry ... Imm2

a = 6.1068 Å, b = 6.1068 Å, c = 6.1068 Å
α = 148.43°, β = 63.69°, γ = 126.24°
Closest atoms and distances in Å follow each position.
Fractional coordinates of all 4 atoms:
Zr 0.0000 0.0000 0.0000  10 Tl 3.09-3.36, 2 Zr 3.32
Tl 0.4274 0.6865 0.7409  9 Tl 3.13-3.32, 3 Zr 3.17-3.20
Tl 0.5284 0.0284 0.5000  4 Zr 3.09-3.36, 8 Tl 3.13-3.32
Tl 0.9456 0.6865 0.2591  9 Tl 3.13-3.32, 3 Zr 3.17-3.20

Number 1: formation enthalpy at 0 K -109 meV per atom. Number 2: formation enthalpy at 0 K -170 meV per atom. Number 3: formation enthalpy at 0 K -108 meV per atom. Number 4: formation enthalpy at 0 K -73 meV per atom. Number 5: formation enthalpy at 0 K -120 meV per atom. Number 6: formation enthalpy at 0 K 432 meV per atom. Number 7: formation enthalpy at 0 K -136 meV per atom. Number 8: formation enthalpy at 0 K -73 meV per atom. Number 9: formation enthalpy at 0 K -63 meV per atom. Number 10: formation enthalpy at 0 K -183 meV per atom. Number 11: formation enthalpy at 0 K 31 meV per atom. Number 12: formation enthalpy at 0 K -238 meV per atom. Number 13: formation enthalpy at 0 K -71 meV per atom. Number 14: formation enthalpy at 0 K -146 meV per atom. Number 15: formation enthalpy at 0 K 9 meV per atom. Number 16: formation enthalpy at 0 K -269 meV per atom. Number 17: formation enthalpy at 0 K -277 meV per atom. Number 18: formation enthalpy at 0 K 923 meV per atom. Number 19: formation enthalpy at 0 K -246 meV per atom. Number 20: formation enthalpy at 0 K -51 meV per atom.